First-principles (PBE) data for an optimized crystal structure of CoRe2Ru, as listed in Alexandria.

Structure (POSCAR):
```
CoRe2Ru
1.0
-1.3718 2.2064 4.5644
1.3718 -2.2064 4.5644
1.3718 2.2064 -4.5644
Co Re Ru
1 2 1
direct
0.0000 0.0000 0.0000
0.2216 0.7216 0.5000
0.5005 0.5005 0.0000
0.7745 0.2745 0.5000
```

Properties
Offset from the most stable computed form = 134 kJ/mol of formula units
ΔH_f (0 K) = 0.289 eV per atom
DOS(E_F) = 1.34 states/eV/atom
SG = Imm2 (44)